1.
The following is a DFT calculation (GGA-PBE) of a relaxed structure of Hf3ZnPd6.

As for the formation enthalpy at 0 K: -564 kJ/mol of formula units.

The space group is Cmc2_1 (No. 36) and the conventional cell measures 9.805, 14.592 and 4.805 Å, with angles of 90.00, 90.00 and 90.00 degrees. The asymmetric unit holds Hf at (0.000, 0.108, 0.000), Hf at (0.170, 0.398, 0.366), Zn at (0.000, 0.293, 0.005), Pd at (0.000, 0.227, 0.502), Pd at (0.000, 0.453, 0.829), Pd at (0.146, 0.049, 0.483) and Pd at (0.239, 0.293, 0.796).

***

2.
The following is a DFT calculation (GGA-PBE) of a relaxed structure of K4Na2Ag2O.

The value obtained for the raw formation energy is -315 meV/atom.

The space group is C2/m (No. 12) and the conventional cell measures 12.774, 7.624 and 6.313 Å, with angles of 90.00, 99.36 and 90.00 degrees. The asymmetric unit holds K at (0.094, 0.248, 0.306), Na at (0.141, 0.000, 0.771), Ag at (0.171, 0.500, 0.826) and O at (0.000, 0.000, 0.500).

***

3.
The following is a DFT calculation (GGA-PBE) of a relaxed structure of Sr2TlGaS.

The value obtained for the raw formation energy is -141 meV/atom.

The space group is P4/mmm (No. 123) and the conventional cell measures 6.264, 6.264 and 4.867 Å, with angles of 90.00, 90.00 and 90.00 degrees. The asymmetric unit holds Sr at (0.000, 0.500, 0.000), Tl at (0.000, 0.000, 0.000), Ga at (0.000, 0.000, 0.500) and S at (0.500, 0.500, 0.500).

***

4.
The following is a DFT calculation (GGA-PBE) of a relaxed structure of Pa3Ge3IrRu2.

As for the formation enthalpy at 0 K: -611 kJ/mol of formula units.

The space group is P-62m (No. 189) and the conventional cell measures 7.1349, 7.1349 and 3.9084 Å, with angles of 90.00, 90.00 and 120.00 degrees. The asymmetric unit holds Pa at (0.0000, 0.5880, 0.0000), Ge at (0.0000, 0.2531, 0.5000), Ir at (0.0000, 0.0000, 0.0000) and Ru at (0.3333, 0.6667, 0.5000).

***

Number 1: density of states at the Fermi level 22.130 states/eV/cell. Number 2: density of states at the Fermi level 6.742 states/eV/cell. Number 3: density of states at the Fermi level 1.666 states/eV/cell. Number 4: density of states at the Fermi level 8.608 states/eV/cell.